## one
# PBE Zn2RuF, relaxed
# * DOS at the Fermi energy: 2.94 states/eV/f.u.
# * symmetry: I-42d (122)
# * magnetization: 2.70 μB per cell
data_Zn2RuF
_space_group_name_H-M_alt 'P 1'
_space_group_IT_number 1
_cell_length_a 6.472
_cell_length_b 6.472
_cell_length_c 5.323
_cell_angle_alpha 52.56
_cell_angle_beta 52.56
_cell_angle_gamma 90.00
loop_
_space_group_symop_operation_xyz
'x,y,z'
loop_
_atom_site_label
_atom_site_type_symbol
_atom_site_fract_x
_atom_site_fract_y
_atom_site_fract_z
_atom_site_occupancy
Zn1 Zn 0.580 0.125 0.250 1
Zn2 Zn 0.875 0.830 0.750 1
Zn3 Zn 0.170 0.625 0.250 1
Ru1 Ru 0.750 0.250 0.500 1
Zn4 Zn 0.375 0.420 0.750 1
Ru2 Ru 0.000 0.000 0.000 1
F1 F 0.250 0.750 0.500 1
F2 F 0.500 0.500 0.000 1

***

## two
# PBE Zn2RuF, relaxed
# * DOS at the Fermi energy: 7.58 states/eV/f.u.
# * symmetry: Fm-3m (225)
# * magnetization: 1.12 μB per cell
data_Zn2RuF
_space_group_name_H-M_alt 'P 1'
_space_group_IT_number 1
_cell_length_a 4.325
_cell_length_b 4.325
_cell_length_c 4.325
_cell_angle_alpha 60.00
_cell_angle_beta 60.00
_cell_angle_gamma 60.00
loop_
_space_group_symop_operation_xyz
'x,y,z'
loop_
_atom_site_label
_atom_site_type_symbol
_atom_site_fract_x
_atom_site_fract_y
_atom_site_fract_z
_atom_site_occupancy
Zn1 Zn 0.750 0.750 0.750 1
Ru1 Ru 0.500 0.500 0.500 1
Zn2 Zn 0.250 0.250 0.250 1
F1 F 0.000 0.000 0.000 1

***

Quick one: least stable of them? two